DFT (PBE) results for a geometry-optimized Nd4Ho3Se8 structure.

Output
uncorrected energy	-88.1	eV per cell
formation energy without anion corrections	-27.46	eV/f.u.
mass density	7.1	g cm⁻³
energy above the most stable polymorph in this dataset	0.0	meV/atom
density of states at the Fermi level	6.34	states/eV per cell

abc: 8.2851 8.2790 8.2790
angles: 89.96 120.07 120.07
Closest atoms and distances in Å follow each position.
Positions (direct):
Ho (0.5000, 0.5000, 0.5000)  6 Se 2.87
Se (0.5140, 0.2619, 0.2619)  3 Ho 2.87-2.93, 2 Nd 2.99-3.01
Se (0.0103, 0.2616, 0.2616)  1 Ho 2.87, 4 Nd 2.93-3.00
Nd (0.5000, 0.0000, 0.0000)  6 Se 2.98-2.99
Se (0.4860, 0.7381, 0.7381)  3 Ho 2.87-2.93, 2 Nd 2.99-3.01
Se (0.5000, 0.2550, 0.7450)  3 Ho 2.87-2.93, 3 Nd 2.92-2.98
Se (0.9897, 0.7384, 0.7384)  1 Ho 2.87, 4 Nd 2.93-3.00
Se (0.5000, 0.7450, 0.2550)  3 Ho 2.87-2.93, 3 Nd 2.92-2.98
Nd (0.0000, 0.5000, 0.0000)  6 Se 2.92-2.93
Nd (0.0000, 0.0000, 0.5000)  6 Se 2.92-2.93
Se (0.0000, 0.2568, 0.7432)  2 Ho 2.93, 3 Nd 2.93-3.01
Ho (0.5000, 0.0000, 0.5000)  6 Se 2.93
Ho (0.5000, 0.5000, 0.0000)  6 Se 2.93
Nd (0.0000, 0.0000, 0.0000)  6 Se 3.00-3.01
Se (0.0000, 0.7432, 0.2568)  2 Ho 2.93, 3 Nd 2.93-3.01

---

DFT (PBE) results for a geometry-optimized ScIBrN2 structure.

Output
uncorrected energy	-22.6	eV per cell
formation energy without anion corrections	3.61	eV/f.u.
mass density	3.9	g cm⁻³
energy above the most stable polymorph in this dataset	0.0	meV/atom
density of states at the Fermi level	3.08	states/eV per cell

abc: 4.3932 4.3932 6.1894
angles: 90.00 90.00 90.00
Closest atoms and distances in Å follow each position.
Positions (direct):
N (0.0000, 0.5000, 0.0000)  2 Sc 2.20
N (0.5000, 0.0000, 0.0000)  2 Sc 2.20
Br (0.5000, 0.5000, 0.5000)  4 I 3.11
I (0.0000, 0.0000, 0.5000)  2 Sc 3.09, 4 Br 3.11
Sc (0.0000, 0.0000, 0.0000)  4 N 2.20

---

DFT (PBE) results for a geometry-optimized CdTe2MoN structure.

Output
uncorrected energy	-18.9	eV per cell
formation energy without anion corrections	7.49	eV/f.u.
mass density	6.1	g cm⁻³
energy above the most stable polymorph in this dataset	1307.9	meV/atom
density of states at the Fermi level	2.85	states/eV per cell

abc: 5.6747 5.6747 4.0600
angles: 90.00 90.00 90.00
Closest atoms and distances in Å follow each position.
Positions (direct):
N (0.0000, 0.0000, 0.5000)  2 Cd 2.03
Te (0.5000, 0.0000, 0.0000)  2 Cd 2.84
Mo (0.5000, 0.5000, 0.5000)  8 Te 3.49
Te (0.0000, 0.5000, 0.0000)  2 Cd 2.84
Cd (0.0000, 0.0000, 0.0000)  2 N 2.03

---

DFT (PBE) results for a geometry-optimized NdDyP2O8 structure.

Output
uncorrected energy	-94.7	eV per cell
formation energy without anion corrections	-34.81	eV/f.u.
mass density	4.8	g cm⁻³
density of states at the Fermi level	0.00	states/eV per cell

abc: 5.2739 5.2739 7.1555
angles: 90.00 90.00 120.00
Closest atoms and distances in Å follow each position.
Positions (direct):
Dy (0.0000, 0.0000, 0.5000)  6 O 2.24
P (0.6667, 0.3333, 0.2039)  4 O 1.53-1.55
O (0.1749, 0.8278, 0.7214)  1 P 1.55
O (0.8251, 0.1722, 0.2786)  1 P 1.55
O (0.8278, 0.6530, 0.2786)  1 P 1.55
P (0.3333, 0.6667, 0.7961)  4 O 1.53-1.55
O (0.3470, 0.1749, 0.2786)  1 P 1.55
O (0.1722, 0.3470, 0.7214)  1 P 1.55
Nd (0.0000, 0.0000, 0.0000)  6 O 2.55
O (0.3333, 0.6667, 0.0096)  1 P 1.53
O (0.6530, 0.8251, 0.7214)  1 P 1.55
O (0.6667, 0.3333, 0.9904)  1 P 1.53

---

DFT (PBE) results for a geometry-optimized Zr4Re structure.

Output
uncorrected energy	-91.2	eV per cell
DFT formation energy	0.2110	eV/atom
mass density	8.2	g cm⁻³
energy above the most stable polymorph in this dataset	334.8	meV/atom
density of states at the Fermi level	13.08	states/eV per cell

abc: 6.2473 6.5872 6.3541
angles: 121.22 90.00 90.00
Closest atoms and distances in Å follow each position.
Positions (direct):
Zr (0.6790, 0.7152, 0.7395)  2 Re 2.66-2.90, 1 Zr 2.89
Zr (0.8210, 0.7848, 0.2605)  2 Re 2.66-2.90, 1 Zr 2.89
Re (0.5000, 0.5000, 0.0000)  8 Zr 2.66-2.90
Zr (0.1790, 0.5242, 0.7395)  2 Re 2.66-2.90, 1 Zr 2.89
Zr (0.1790, 0.4758, 0.2605)  2 Re 2.66-2.90, 1 Zr 2.89
Re (0.0000, 0.0000, 0.0000)  8 Zr 2.66-2.90
Zr (0.3210, 0.0242, 0.7395)  2 Re 2.66-2.90, 1 Zr 2.89
Zr (0.3210, 0.9758, 0.2605)  2 Re 2.66-2.90, 1 Zr 2.89
Zr (0.8210, 0.2152, 0.7395)  2 Re 2.66-2.90, 1 Zr 2.89
Zr (0.6790, 0.2848, 0.2605)  2 Re 2.66-2.90, 1 Zr 2.89

---

DFT (PBE) results for a geometry-optimized AlSe3 structure.

Output
uncorrected energy	-15.3	eV per cell
formation energy without anion corrections	-1.13	eV/f.u.
mass density	4.8	g cm⁻³
energy above the most stable polymorph in this dataset	0.0	meV/atom
density of states at the Fermi level	2.19	states/eV per cell

abc: 3.5013 5.1534 6.5577
angles: 50.40 90.00 90.00
Closest atoms and distances in Å follow each position.
Positions (direct):
Al (0.0000, 0.0000, 0.0000)  6 Se 2.56-2.57
Se (0.5000, 0.8075, 0.8365)  1 Se 2.45, 2 Al 2.56
Se (0.5000, 0.1925, 0.1635)  1 Se 2.45, 2 Al 2.56
Se (0.0000, 0.5000, 0.5000)  2 Al 2.57

---

DFT (PBE) results for a geometry-optimized RbNbPS6 structure.

Output
uncorrected energy	-45.1	eV per cell
formation energy without anion corrections	-3.92	eV/f.u.
mass density	2.7	g cm⁻³
density of states at the Fermi level	9.47	states/eV per cell

abc: 6.1487 6.1487 7.6677
angles: 90.00 90.00 60.00
Closest atoms and distances in Å follow each position.
Positions (direct):
S (0.0254, 0.6110, 0.6730)  1 P 2.24, 1 Nb 2.45
S (0.6108, 0.0254, 0.3269)  1 P 2.24, 1 Nb 2.45
S (0.0253, 0.3638, 0.3269)  1 P 2.24, 1 Nb 2.45
S (0.6110, 0.3636, 0.6730)  1 P 2.24, 1 Nb 2.45
S (0.3638, 0.6108, 0.3269)  1 P 2.24, 1 Nb 2.45
S (0.3635, 0.0255, 0.6730)  1 P 2.24, 1 Nb 2.45
Nb (0.6666, 0.6667, 0.5002)  6 S 2.45
P (0.3333, 0.3333, 0.4999)  6 S 2.24
Rb (0.0000, 0.0000, 0.0000)  6 S 3.41

---

DFT (PBE) results for a geometry-optimized LiTb2ZrS4 structure.

Output
uncorrected energy	-50.4	eV per cell
formation energy without anion corrections	-14.20	eV/f.u.
mass density	5.8	g cm⁻³
density of states at the Fermi level	3.31	states/eV per cell

abc: 3.8268 6.7196 6.4762
angles: 109.34 90.00 90.00
Closest atoms and distances in Å follow each position.
Positions (direct):
S (0.0000, 0.7503, 0.2334)  1 Li 2.60, 2 Zr 2.66, 3 Tb 2.75-2.78
S (0.0000, 0.2497, 0.7666)  1 Li 2.60, 2 Zr 2.66, 3 Tb 2.75-2.78
Li (0.0000, 0.0000, 0.0000)  6 S 2.60-2.65
S (0.5000, 0.2439, 0.2342)  1 Zr 2.64, 2 Li 2.65, 3 Tb 2.74-2.76
Tb (0.0000, 0.5000, 0.5000)  6 S 2.76-2.78
Tb (0.5000, 0.0000, 0.5000)  6 S 2.74-2.75
S (0.5000, 0.7561, 0.7658)  1 Zr 2.64, 2 Li 2.65, 3 Tb 2.74-2.76
Zr (0.5000, 0.5000, 0.0000)  6 S 2.64-2.66

---

Repeat the seventh record exactly.
DFT (PBE) results for a geometry-optimized RbNbPS6 structure.

Output
uncorrected energy	-45.1	eV per cell
formation energy without anion corrections	-3.92	eV/f.u.
mass density	2.7	g cm⁻³
density of states at the Fermi level	9.47	states/eV per cell

abc: 6.1487 6.1487 7.6677
angles: 90.00 90.00 60.00
Closest atoms and distances in Å follow each position.
Positions (direct):
S (0.0254, 0.6110, 0.6730)  1 P 2.24, 1 Nb 2.45
S (0.6108, 0.0254, 0.3269)  1 P 2.24, 1 Nb 2.45
S (0.0253, 0.3638, 0.3269)  1 P 2.24, 1 Nb 2.45
S (0.6110, 0.3636, 0.6730)  1 P 2.24, 1 Nb 2.45
S (0.3638, 0.6108, 0.3269)  1 P 2.24, 1 Nb 2.45
S (0.3635, 0.0255, 0.6730)  1 P 2.24, 1 Nb 2.45
Nb (0.6666, 0.6667, 0.5002)  6 S 2.45
P (0.3333, 0.3333, 0.4999)  6 S 2.24
Rb (0.0000, 0.0000, 0.0000)  6 S 3.41